## GdTmSnPd2 (PBE)

Data for a relaxed structure of GdTmSnPd2.

Results
As for the total energy: -5.60 eV/atom. The space group is No. 38.

Geometry as POSCAR:
```
GdTmSnPd2
1.0
-0.8761 3.4500 -0.3236
-7.2954 -1.9412 -0.9435
-6.7383 -1.4073 3.2398
Gd Pd Sn Tm
1 2 1 1
Direct
0.0000 0.6305 0.6305 Gd
0.5000 0.1918 0.1918 Pd
0.5000 0.8113 0.8113 Pd
0.5000 0.9989 0.9989 Sn
0.0000 0.3676 0.3676 Tm
```